a:
Entry from Alexandria: AlCr2P after structural relaxation (GGA-PBEsol).

* size of the total moment: 0.00 μB/f.u.
* calculated volume: 11.895 Å³ per atom

a = 4.5556 Å, b = 4.5556 Å, c = 2.6176 Å
α = 100.84°, β = 100.84°, γ = 111.65°
Fractional positions:
Al 0.0000 0.0000 0.0000
Cr 0.0000 0.5000 0.5000
Cr 0.5000 0.0000 0.5000
P 0.5000 0.5000 0.0000

b:
Entry from Alexandria: AlCr2P after structural relaxation (GGA-PBEsol).

* size of the total moment: 1.15 μB/f.u.
* calculated volume: 11.900 Å³ per atom

a = 4.0679 Å, b = 4.0679 Å, c = 4.0679 Å
α = 60.00°, β = 60.00°, γ = 60.00°
Fractional positions:
Al 0.0000 0.0000 0.0000
Cr 0.2500 0.2500 0.2500
Cr 0.5000 0.5000 0.5000
P 0.7500 0.7500 0.7500

Most stable to least stable, the ends of the list are a and b.

a:
Entry from Alexandria: Al2CrTc after structural relaxation (GGA-PBEsol).

* size of the total moment: 3.18 μB/f.u.
* calculated volume: 13.706 Å³ per atom

a = 4.2641 Å, b = 4.2641 Å, c = 4.2641 Å
α = 60.00°, β = 60.00°, γ = 60.00°
Fractional positions:
Al 0.2500 0.2500 0.2500
Al 0.7500 0.7500 0.7500
Cr 0.0000 0.0000 0.0000
Tc 0.5000 0.5000 0.5000

b:
Entry from Alexandria: Al2CrTc after structural relaxation (GGA-PBEsol).

* size of the total moment: 0.00 μB/f.u.
* calculated volume: 13.331 Å³ per atom

a = 3.1112 Å, b = 4.0719 Å, c = 4.2090 Å
α = 90.00°, β = 90.00°, γ = 90.00°
Fractional positions:
Al 0.0000 0.0000 0.0000
Al 0.5000 0.0000 0.5000
Cr 0.0000 0.5000 0.5000
Tc 0.5000 0.5000 0.0000

Most stable to least stable, the ends of the list are a and b.

a:
Entry from Alexandria: Al2CrTc after structural relaxation (GGA-PBEsol).

* size of the total moment: 0.00 μB/f.u.
* calculated volume: 13.640 Å³ per atom

a = 8.6528 Å, b = 8.6528 Å, c = 8.6528 Å
α = 18.09°, β = 18.09°, γ = 18.09°
Fractional positions:
Al 0.2483 0.2483 0.2483
Al 0.7517 0.7517 0.7517
Cr 0.5000 0.5000 0.5000
Tc 0.0000 0.0000 0.0000

b:
Entry from Alexandria: Al2CrTc after structural relaxation (GGA-PBEsol).

* size of the total moment: 2.94 μB/f.u.
* calculated volume: 13.746 Å³ per atom

a = 3.1035 Å, b = 3.1035 Å, c = 5.7087 Å
α = 90.00°, β = 90.00°, γ = 90.00°
Fractional positions:
Al 0.0000 0.0000 0.2444
Al 0.0000 0.0000 0.7556
Cr 0.5000 0.5000 0.5000
Tc 0.5000 0.5000 0.0000

Most stable to least stable, the ends of the list are b and a.

a:
Entry from Alexandria: Al2CrW after structural relaxation (GGA-PBEsol).

* size of the total moment: 0.00 μB/f.u.
* calculated volume: 13.615 Å³ per atom

a = 4.2546 Å, b = 4.2546 Å, c = 4.2546 Å
α = 60.00°, β = 60.00°, γ = 60.00°
Fractional positions:
Al 0.0000 0.0000 0.0000
Al 0.2500 0.2500 0.2500
Cr 0.7500 0.7500 0.7500
W 0.5000 0.5000 0.5000

b:
Entry from Alexandria: Al2CrW after structural relaxation (GGA-PBEsol).

* size of the total moment: 1.42 μB/f.u.
* calculated volume: 14.240 Å³ per atom

a = 4.7852 Å, b = 4.7852 Å, c = 2.7051 Å
α = 90.00°, β = 90.00°, γ = 113.13°
Fractional positions:
Al 0.0000 0.5000 0.0000
Al 0.5000 0.0000 0.0000
Cr 0.0000 0.0000 0.5000
W 0.5000 0.5000 0.5000

Most stable to least stable, the ends of the list are a and b.